[1]
The following is a GGA+U calculation of an optimized crystal structure of MoBr3F, from Alexandria via LeMat-Bulk.

M_tot = 0.90 μB/atom
E_tot = -2.353 eV/atom

```
data_MoBr3F
_space_group_name_H-M_alt 'P m -3 m'
_space_group_IT_number 221
_space_group_name_Hall '-P 4 2 3'
_cell_length_a 4.9845
_cell_length_b 4.9845
_cell_length_c 4.9845
_cell_angle_alpha 90.00
_cell_angle_beta 90.00
_cell_angle_gamma 90.00
loop_
_atom_site_label
_atom_site_type_symbol
_atom_site_fract_x
_atom_site_fract_y
_atom_site_fract_z
_atom_site_occupancy
Mo1 Mo 0.0000 0.0000 0.0000 1
Br1 Br 0.0000 0.5000 0.5000 1
F1 F 0.5000 0.5000 0.5000 1
```



[2]
The following is a GGA+U calculation of an optimized crystal structure of MoBrF3, from Alexandria via LeMat-Bulk.

M_tot = 0.96 μB/atom
E_tot = -3.101 eV/atom

```
data_MoBrF3
_space_group_name_H-M_alt 'P m -3 m'
_space_group_IT_number 221
_space_group_name_Hall '-P 4 2 3'
_cell_length_a 4.5580
_cell_length_b 4.5580
_cell_length_c 4.5580
_cell_angle_alpha 90.00
_cell_angle_beta 90.00
_cell_angle_gamma 90.00
loop_
_atom_site_label
_atom_site_type_symbol
_atom_site_fract_x
_atom_site_fract_y
_atom_site_fract_z
_atom_site_occupancy
Mo1 Mo 0.0000 0.0000 0.0000 1
Br1 Br 0.5000 0.5000 0.5000 1
F1 F 0.0000 0.5000 0.5000 1
```



[3]
The following is a GGA+U calculation of an optimized crystal structure of MoBrN2F, from Alexandria via LeMat-Bulk.

M_tot = 0.03 μB/atom
E_tot = -5.085 eV/atom

```
data_MoBrN2F
_space_group_name_H-M_alt 'P 4/m m m'
_space_group_IT_number 123
_space_group_name_Hall '-P 4 2'
_cell_length_a 4.1238
_cell_length_b 4.1238
_cell_length_c 4.2033
_cell_angle_alpha 90.00
_cell_angle_beta 90.00
_cell_angle_gamma 90.00
loop_
_atom_site_label
_atom_site_type_symbol
_atom_site_fract_x
_atom_site_fract_y
_atom_site_fract_z
_atom_site_occupancy
Mo1 Mo 0.0000 0.0000 0.0000 1
Br1 Br 0.5000 0.5000 0.5000 1
N1 N 0.0000 0.5000 0.0000 1
F1 F 0.0000 0.0000 0.5000 1
```



[4]
The following is a GGA+U calculation of an optimized crystal structure of MoBr2NF, from Alexandria via LeMat-Bulk.

M_tot = 0.80 μB/atom
E_tot = -2.906 eV/atom

```
data_MoBr2NF
_space_group_name_H-M_alt 'P 4/m m m'
_space_group_IT_number 123
_space_group_name_Hall '-P 4 2'
_cell_length_a 5.5244
_cell_length_b 5.5244
_cell_length_c 3.3903
_cell_angle_alpha 90.00
_cell_angle_beta 90.00
_cell_angle_gamma 90.00
loop_
_atom_site_label
_atom_site_type_symbol
_atom_site_fract_x
_atom_site_fract_y
_atom_site_fract_z
_atom_site_occupancy
Mo1 Mo 0.0000 0.0000 0.0000 1
Br1 Br 0.0000 0.5000 0.5000 1
N1 N 0.5000 0.5000 0.0000 1
F1 F 0.5000 0.5000 0.5000 1
```



[5]
The following is a GGA+U calculation of an optimized crystal structure of MoBrNF2, from Alexandria via LeMat-Bulk.

M_tot = 0.42 μB/atom
E_tot = -4.827 eV/atom

```
data_MoBrNF2
_space_group_name_H-M_alt 'P 4/m m m'
_space_group_IT_number 123
_space_group_name_Hall '-P 4 2'
_cell_length_a 4.1927
_cell_length_b 4.1927
_cell_length_c 4.1925
_cell_angle_alpha 90.00
_cell_angle_beta 90.00
_cell_angle_gamma 90.00
loop_
_atom_site_label
_atom_site_type_symbol
_atom_site_fract_x
_atom_site_fract_y
_atom_site_fract_z
_atom_site_occupancy
Mo1 Mo 0.0000 0.0000 0.0000 1
Br1 Br 0.5000 0.5000 0.5000 1
N1 N 0.0000 0.0000 0.5000 1
F1 F 0.0000 0.5000 0.0000 1
```



[6]
The following is a GGA+U calculation of an optimized crystal structure of MoBrN2F, from Alexandria via LeMat-Bulk.

M_tot = 0.68 μB/atom
E_tot = -3.800 eV/atom

```
data_MoBrN2F
_space_group_name_H-M_alt 'P 4/m m m'
_space_group_IT_number 123
_space_group_name_Hall '-P 4 2'
_cell_length_a 4.1123
_cell_length_b 4.1123
_cell_length_c 4.1680
_cell_angle_alpha 90.00
_cell_angle_beta 90.00
_cell_angle_gamma 90.00
loop_
_atom_site_label
_atom_site_type_symbol
_atom_site_fract_x
_atom_site_fract_y
_atom_site_fract_z
_atom_site_occupancy
Mo1 Mo 0.0000 0.0000 0.0000 1
Br1 Br 0.5000 0.5000 0.5000 1
N1 N 0.0000 0.5000 0.5000 1
F1 F 0.5000 0.5000 0.0000 1
```



[7]
The following is a GGA+U calculation of an optimized crystal structure of MoBrNF2, from Alexandria via LeMat-Bulk.

M_tot = 0.92 μB/atom
E_tot = -3.563 eV/atom

```
data_MoBrNF2
_space_group_name_H-M_alt 'P 4/m m m'
_space_group_IT_number 123
_space_group_name_Hall '-P 4 2'
_cell_length_a 4.8433
_cell_length_b 4.8433
_cell_length_c 3.7248
_cell_angle_alpha 90.00
_cell_angle_beta 90.00
_cell_angle_gamma 90.00
loop_
_atom_site_label
_atom_site_type_symbol
_atom_site_fract_x
_atom_site_fract_y
_atom_site_fract_z
_atom_site_occupancy
Mo1 Mo 0.0000 0.0000 0.0000 1
Br1 Br 0.5000 0.5000 0.5000 1
N1 N 0.5000 0.5000 0.0000 1
F1 F 0.0000 0.5000 0.5000 1
```



[8]
The following is a GGA+U calculation of an optimized crystal structure of Na3MoBr2F6, from Alexandria via LeMat-Bulk.

M_tot = 0.08 μB/atom
E_tot = -4.314 eV/atom

```
data_Na3MoBr2F6
_space_group_name_H-M_alt 'C 1 2/m 1'
_space_group_IT_number 12
_cell_length_a 14.6521
_cell_length_b 7.0105
_cell_length_c 4.8924
_cell_angle_alpha 90.00
_cell_angle_beta 90.65
_cell_angle_gamma 90.00
loop_
_space_group_symop_operation_xyz
'x,y,z'
'-x,-y,-z'
'-x,y,-z'
'x,-y,z'
'x+1/2,y+1/2,z'
'-x+1/2,-y+1/2,-z'
'-x+1/2,y+1/2,-z'
'x+1/2,-y+1/2,z'
loop_
_atom_site_label
_atom_site_type_symbol
_atom_site_fract_x
_atom_site_fract_y
_atom_site_fract_z
_atom_site_occupancy
Na1 Na 0.0000 0.0000 0.0000 1
Na2 Na 0.2500 0.2500 0.5000 1
Mo1 Mo 0.0000 0.5000 0.5000 1
Br1 Br 0.1903 0.0000 0.0761 1
F1 F 0.0302 0.2977 0.7474 1
F2 F 0.1292 0.5000 0.3985 1
```